Entry 1:
A plane-wave DFT calculation with PBE was carried out for a geometry-optimized Sc2TcOs structure.

Unit cell a=4.497 b=4.497 c=5.493 alpha=83.58 beta=83.58 gamma=38.53
Atoms (fractional coordinates):
Os (0.250, 0.250, 0.250)
Sc (0.996, 0.996, 0.003)
Sc (0.504, 0.504, 0.497)
Tc (0.750, 0.750, 0.750)

As for the size of the total moment: 0.00 μB/f.u. The raw total energy is -8.55 eV/atom.

Entry 2:
A plane-wave DFT calculation with PBE was carried out for a geometry-optimized Al2SiNi structure.

Unit cell a=3.861 b=3.861 c=3.633 alpha=90.00 beta=90.00 gamma=90.00
Atoms (fractional coordinates):
Ni (0.500, 0.000, 0.500)
Si (0.000, 0.500, 0.500)
Al (0.000, 0.000, 0.000)
Al (0.500, 0.500, 0.000)

The formation energy without anion corrections is -0.117 eV/atom. As for the size of the total moment: 0.00 μB/f.u. The raw total energy is -4.79 eV/atom.

Entry 3:
A plane-wave DFT calculation with PBE was carried out for a geometry-optimized SnSeF2 structure.

Unit cell a=4.569 b=4.569 c=4.569 alpha=60.00 beta=60.00 gamma=60.00
Atoms (fractional coordinates):
Sn (0.500, 0.500, 0.500)
Se (0.000, 0.000, 0.000)
F (0.250, 0.250, 0.250)
F (0.750, 0.750, 0.750)

The formation energy without anion corrections is -0.850 eV/atom. As for the size of the total moment: 2.00 μB/f.u. The raw total energy is -3.66 eV/atom.

Entry 4:
A plane-wave DFT calculation with PBE was carried out for a geometry-optimized Al2CrPd structure.

Unit cell a=4.352 b=4.352 c=4.352 alpha=60.00 beta=60.00 gamma=60.00
Atoms (fractional coordinates):
Cr (0.000, 0.000, 0.000)
Al (0.250, 0.250, 0.250)
Al (0.750, 0.750, 0.750)
Pd (0.500, 0.500, 0.500)

As for the size of the total moment: 3.23 μB/f.u. The raw total energy is -5.96 eV/atom.

Entry 5:
A plane-wave DFT calculation with PBE was carried out for a geometry-optimized ErTiCuIr structure.

Unit cell a=4.616 b=4.616 c=4.616 alpha=60.00 beta=60.00 gamma=60.00
Atoms (fractional coordinates):
Ir (0.000, 0.000, 0.000)
Ti (0.250, 0.250, 0.250)
Cu (0.500, 0.500, 0.500)
Er (0.750, 0.750, 0.750)

As for the size of the total moment: 0.14 μB/f.u. The raw total energy is -6.80 eV/atom.

Entry 6:
A plane-wave DFT calculation with PBE was carried out for a geometry-optimized ReP3 structure.

Unit cell a=4.812 b=4.812 c=4.812 alpha=90.00 beta=90.00 gamma=90.00
Atoms (fractional coordinates):
Re (0.000, 0.000, 0.000)
Re (0.500, 0.500, 0.500)
P (0.750, 0.500, 0.000)
P (0.250, 0.500, 0.000)
P (0.000, 0.750, 0.500)
P (0.000, 0.250, 0.500)
P (0.500, 0.000, 0.250)
P (0.500, 0.000, 0.750)

As for the size of the total moment: 0.00 μB/f.u. The raw total energy is -6.70 eV/atom.

Entry 7:
A plane-wave DFT calculation with PBE was carried out for a geometry-optimized BiBr3 structure.

Unit cell a=13.614 b=13.614 c=13.614 alpha=14.49 beta=14.49 gamma=14.49
Atoms (fractional coordinates):
Bi (0.000, 0.000, 0.000)
Br (0.500, 0.500, 0.500)
Br (0.931, 0.931, 0.931)
Br (0.069, 0.069, 0.069)

The formation energy without anion corrections is 0.091 eV/atom. As for the size of the total moment: 0.28 μB/f.u. The raw total energy is -2.13 eV/atom.

Entry 8:
A plane-wave DFT calculation with PBE was carried out for a geometry-optimized Sm4PdPt structure.

Unit cell a=7.093 b=7.082 c=7.090 alpha=90.00 beta=89.43 gamma=90.00
Atoms (fractional coordinates):
Sm (0.832, 0.666, 0.164)
Sm (0.668, 0.166, 0.836)
Sm (0.337, 0.336, 0.334)
Sm (0.163, 0.836, 0.666)
Sm (0.168, 0.334, 0.836)
Sm (0.332, 0.834, 0.164)
Sm (0.663, 0.664, 0.666)
Sm (0.837, 0.164, 0.334)
Pd (0.500, 0.000, 0.500)
Pd (0.000, 0.500, 0.500)
Pt (0.000, 0.000, 0.000)
Pt (0.500, 0.500, 0.000)

As for the size of the total moment: 0.00 μB/f.u. The raw total energy is -5.62 eV/atom.